! MgCoPO2 | Alexandria | PBE+U | optimized geometry; values from VASP
! excess energy over the best structure of this formula in the dataset	0.0	meV/atom
! magnetization	2.51	μB/cell
! space group	P4/mmm, No. 123
! theoretical density	3.701	Mg/m³
&SYSTEM
  ibrav = 0, nat = 5, ntyp = 4
/
ATOMIC_SPECIES
P 30.97 P.upf
Mg 24.30 Mg.upf
Co 58.93 Co.upf
O 16.00 O.upf
CELL_PARAMETERS angstrom
-0.1280 -0.7618 3.5902
-2.2826 -2.7966 -0.6748
3.8062 -2.9865 -0.4980
ATOMIC_POSITIONS crystal
P 0.0000 0.0000 0.5000
Mg 0.5000 0.5000 0.5000
Co 0.0000 0.0000 0.0000
O 0.0000 0.5000 0.0000
O 0.5000 0.0000 0.0000